HoPH after structural relaxation, computed with PBE-GGA.

Values from the calculation:
For the energy above the most stable polymorph in this dataset, the calculation gives 340 meV/atom. The value obtained for the energy is -4.9551 eV per atom.

abc: 3.885 3.885 4.354
angles: 116.50 116.50 90.00
Element x y z (fractional)
P1 0.012 0.012 0.024
Ho1 0.592 0.592 0.184
H1 0.246 0.246 0.493